No. 1
# RbTlAuCl PBE relaxed
# Crystal system: cubic
# ρ, g/cm3: 7.0
# Magnetic moment, μB per cell: 0.00
# Formation energy (no corrections), eV/f.u.: -2.77
data_RbTlAuCl
_symmetry_space_group_name_H-M 'F -4 3 m'
_symmetry_Int_Tables_number 216
_symmetry_space_group_name_Hall 'F -4 2 3'
_cell_length_a 7.9049
_cell_length_b 7.9049
_cell_length_c 7.9049
_cell_angle_alpha 90.00
_cell_angle_beta 90.00
_cell_angle_gamma 90.00
loop_
_atom_site_label
_atom_site_type_symbol
_atom_site_fract_x
_atom_site_fract_y
_atom_site_fract_z
Rb1 Rb 0.0000 0.0000 0.0000
Tl1 Tl 0.0000 0.0000 0.5000
Au1 Au 0.2500 0.2500 0.2500
Cl1 Cl 0.2500 0.2500 0.7500



No. 2
# Y2PuIn PBE relaxed
# Crystal system: trigonal
# ρ, g/cm3: 7.6
# Magnetic moment, μB per cell: 19.69
# Energy above the most stable polymorph in this dataset, eV per atom: 0.079
data_Y2PuIn
_symmetry_space_group_name_H-M 'R 3 m'
_symmetry_Int_Tables_number 160
_symmetry_space_group_name_Hall 'R 3 -2"'
_cell_length_a 3.5531
_cell_length_b 3.5531
_cell_length_c 32.2356
_cell_angle_alpha 90.00
_cell_angle_beta 90.00
_cell_angle_gamma 120.00
loop_
_atom_site_label
_atom_site_type_symbol
_atom_site_fract_x
_atom_site_fract_y
_atom_site_fract_z
Y1 Y 0.0000 0.0000 0.0000
Y2 Y 0.0000 0.0000 0.1752
Pu1 Pu 0.0000 0.0000 0.4207
In1 In 0.0000 0.0000 0.5876



No. 3
# Sn2HgBi2 PBE relaxed
# Crystal system: triclinic
# ρ, g/cm3: 8.9
# Magnetic moment, μB per cell: 0.00
# Energy above the most stable polymorph in this dataset, eV per atom: 0.006
data_Sn2HgBi2
_symmetry_space_group_name_H-M 'P -1'
_symmetry_Int_Tables_number 2
_symmetry_space_group_name_Hall '-P 1'
_cell_length_a 4.3522
_cell_length_b 5.6555
_cell_length_c 7.0687
_cell_angle_alpha 113.01
_cell_angle_beta 95.37
_cell_angle_gamma 90.77
loop_
_atom_site_label
_atom_site_type_symbol
_atom_site_fract_x
_atom_site_fract_y
_atom_site_fract_z
Sn1 Sn 0.2440 0.4008 0.3092
Hg1 Hg 0.0000 0.0000 0.5000
Bi1 Bi 0.2918 0.7722 0.0474



No. 4
# OsNO2F PBE relaxed
# Crystal system: tetragonal
# ρ, g/cm3: 9.0
# Magnetic moment, μB per cell: 0.29
# Formation energy (no corrections), eV/f.u.: 10.65
data_OsNO2F
_symmetry_space_group_name_H-M 'P 4/m m m'
_symmetry_Int_Tables_number 123
_symmetry_space_group_name_Hall '-P 4 2'
_cell_length_a 3.6390
_cell_length_b 3.6390
_cell_length_c 3.5641
_cell_angle_alpha 90.00
_cell_angle_beta 90.00
_cell_angle_gamma 90.00
loop_
_atom_site_label
_atom_site_type_symbol
_atom_site_fract_x
_atom_site_fract_y
_atom_site_fract_z
Os1 Os 0.0000 0.0000 0.0000
N1 N 0.5000 0.5000 0.0000
O1 O 0.0000 0.5000 0.5000
F1 F 0.5000 0.5000 0.5000